*1*
RbGaSe2Br (GGA-PBE, relaxed); M_tot = 3.00 μB per cell; Fermi-level density of states = 7.23 states/eV per cell; space-group type = P4/mmm (123)
1.0
6.295 0.000 0.000
0.000 6.295 0.000
0.000 0.000 6.340
Rb Ga Se Br
1 1 2 1
Direct
0.000 0.000 0.000 Rb
0.500 0.500 0.500 Ga
0.000 0.500 0.000 Se
0.500 0.000 0.000 Se
0.000 0.000 0.500 Br

---

*2*
RbGaSe2Br (GGA-PBE, relaxed); M_tot = 0.40 μB per cell; Fermi-level density of states = 5.54 states/eV per cell; space-group type = P4/mmm (123)
1.0
5.023 0.000 0.000
0.000 5.023 0.000
0.000 0.000 5.912
Rb Ga Se Br
1 1 2 1
Direct
0.000 0.000 0.000 Rb
0.500 0.500 0.500 Ga
0.000 0.500 0.500 Se
0.500 0.000 0.500 Se
0.500 0.500 0.000 Br

---

It is *2* that is the most stable of them.